12
Lattice="3.9937 0.0000 0.0000 0.0000 3.9937 0.0000 0.0000 0.0000 19.6169" Properties=species:S:1:pos:R:3 comment="La2SmPd6Pb3, optimized geometry, DFT PBE-GGA" ef_ev_per_atom=-0.41 sg="P4/mmm, No. 123" total_energy_ev_per_atom=-5.15 n_ef_per_ev_atom=0.661 pbc="T T T"
La 0.0000 0.0000 3.5950
La 0.0000 0.0000 16.0219
Sm 0.0000 0.0000 9.8085
Pd 0.0000 1.9969 7.6508
Pd 0.0000 1.9969 11.9661
Pd 1.9969 0.0000 7.6508
Pd 1.9969 0.0000 11.9661
Pd 1.9969 1.9969 2.6905
Pd 1.9969 1.9969 16.9264
Pb 1.9969 1.9969 0.0000
Pb 1.9969 1.9969 5.7066
Pb 1.9969 1.9969 13.9103